[1]
Material: TaCu2Au
Method: DFT, GGA-PBE
State: relaxed

- Spin magnetization: 0.000 μB/atom
- E_form: 0.10 eV/atom
- E: -5.7274 eV per atom

CIF file:
```
data_TaCu2Au
_chemical_formula_sum 'Ta2 Cu4 Au2'
_cell_length_a 8.9429
_cell_length_b 2.7558
_cell_length_c 5.0291
_cell_angle_alpha 90.00
_cell_angle_beta 97.87
_cell_angle_gamma 90.00
_space_group_name_H-M_alt 'C 1 2/m 1'
_space_group_IT_number 12
_space_group_name_Hall '-C 2y'
loop_
_atom_site_label
_atom_site_fract_x
_atom_site_fract_y
_atom_site_fract_z
Ta1 0.0000 0.0000 0.0000
Cu1 0.2489 0.5000 0.2337
Au1 0.0000 0.5000 0.5000
```



[2]
Material: Tl4VBr7
Method: DFT, GGA-PBE
State: relaxed

- Spin magnetization: 0.167 μB/atom
- E: -3.3492 eV per atom
- ΔE_f (raw): -0.8247 eV/atom

CIF file:
```
data_Tl4VBr7
_chemical_formula_sum 'Tl8 V2 Br14'
_cell_length_a 21.7736
_cell_length_b 5.1137
_cell_length_c 7.9207
_cell_angle_alpha 90.00
_cell_angle_beta 106.54
_cell_angle_gamma 90.00
_space_group_name_H-M_alt 'C 1 2/m 1'
_space_group_IT_number 12
_space_group_name_Hall '-C 2y'
loop_
_atom_site_label
_atom_site_fract_x
_atom_site_fract_y
_atom_site_fract_z
Tl1 0.0778 0.0000 0.1530
Tl2 0.1834 0.0000 0.7578
V1 0.0000 0.5000 0.5000
Br1 0.0000 0.0000 0.5000
Br2 0.0619 0.5000 0.8264
Br3 0.1065 0.5000 0.4245
Br4 0.2203 0.0000 0.1815
```